A PBEsol-optimized structure of LiFeP4O12. Source: Alexandria via LeMat-Bulk, functional meta-GGA SCAN.

a = 12.413 Å, b = 8.293 Å, c = 8.870 Å
α = 90.00°, β = 90.00°, γ = 90.00°
Positions (direct):
Li: 0.000 0.010 0.250
Li: 0.000 0.990 0.750
Li: 0.500 0.490 0.750
Li: 0.500 0.510 0.250
Fe: 0.000 0.366 0.250
Fe: 0.000 0.634 0.750
Fe: 0.500 0.134 0.750
Fe: 0.500 0.866 0.250
P: 0.139 0.183 0.002
P: 0.139 0.817 0.502
P: 0.147 0.463 0.510
P: 0.147 0.537 0.010
P: 0.353 0.037 0.010
P: 0.353 0.963 0.510
P: 0.361 0.317 0.502
P: 0.361 0.683 0.002
P: 0.639 0.317 0.998
P: 0.639 0.683 0.498
P: 0.647 0.037 0.490
P: 0.647 0.963 0.990
P: 0.853 0.463 0.990
P: 0.853 0.537 0.490
P: 0.861 0.183 0.498
P: 0.861 0.817 0.998
O: 0.059 0.195 0.131
O: 0.059 0.805 0.631
O: 0.062 0.466 0.632
O: 0.062 0.534 0.132
O: 0.108 0.092 0.867
O: 0.108 0.908 0.367
O: 0.124 0.361 0.373
O: 0.124 0.639 0.873
O: 0.180 0.360 0.959
O: 0.180 0.640 0.459
O: 0.245 0.107 0.081
O: 0.245 0.893 0.581
O: 0.255 0.393 0.581
O: 0.255 0.607 0.081
O: 0.320 0.140 0.459
O: 0.320 0.860 0.959
O: 0.376 0.139 0.873
O: 0.376 0.861 0.373
O: 0.392 0.408 0.367
O: 0.392 0.592 0.867
O: 0.438 0.034 0.132
O: 0.438 0.966 0.632
O: 0.441 0.305 0.631
O: 0.441 0.695 0.131
O: 0.559 0.305 0.869
O: 0.559 0.695 0.369
O: 0.562 0.034 0.368
O: 0.562 0.966 0.868
O: 0.608 0.408 0.133
O: 0.608 0.592 0.633
O: 0.624 0.139 0.627
O: 0.624 0.861 0.127
O: 0.680 0.140 0.041
O: 0.680 0.860 0.541
O: 0.745 0.393 0.919
O: 0.745 0.607 0.419
O: 0.755 0.107 0.419
O: 0.755 0.893 0.919
O: 0.820 0.360 0.541
O: 0.820 0.640 0.041
O: 0.876 0.361 0.127
O: 0.876 0.639 0.627
O: 0.892 0.092 0.633
O: 0.892 0.908 0.133
O: 0.938 0.466 0.868
O: 0.938 0.534 0.368
O: 0.941 0.195 0.369
O: 0.941 0.805 0.869

Calculated values
Its space group is Pbcn. Its uncorrected formation energy is -2.293 eV per atom.

A PBEsol-optimized structure of TcRh2Br. Source: Alexandria via LeMat-Bulk, functional meta-GGA SCAN.

a = 5.418 Å, b = 5.418 Å, c = 5.418 Å
α = 149.35°, β = 132.43°, γ = 57.66°
Positions (direct):
Tc: 0.000 0.000 0.000
Rh: 0.447 0.447 0.000
Rh: 0.751 0.251 0.500
Br: 0.213 0.713 0.500

Calculated values
Its space group is Imm2. Its uncorrected formation energy is 0.731 eV per atom.

In the order shown, the computed E values come out to -178.17 -119.14 eV/f.u..